No. 1
Here is a geometry-optimized TiMoW2 structure from Alexandria via LeMat-Bulk. Energies are from PBE.

Results
Symmetry = P4/mmm
ΔE to the lowest computed polymorph = 64 meV per atom
Energy of formation = -61.0 meV/atom
E_tot = -44.9 eV/cell

Cell lengths 3.1559, 3.1559, 6.3934 Å; angles 90.00, 90.00, 90.00 degrees
With the nearest neighbours (Å) after each atom.
Element x y z (fractional)
Ti (0.0000, 0.0000, 0.0000)  8 W 2.76
Mo (0.0000, 0.0000, 0.5000)  8 W 2.73
W (0.5000, 0.5000, 0.2534)  4 Mo 2.73, 4 Ti 2.76
W (0.5000, 0.5000, 0.7466)  4 Mo 2.73, 4 Ti 2.76

---

No. 2
Here is a geometry-optimized NaCoW2 structure from Alexandria via LeMat-Bulk. Energies are from PBE.

Results
Symmetry = Fm-3m
ΔE to the lowest computed polymorph = 30 meV per atom
Energy of formation = 1251.9 meV/atom
E_tot = -29.3 eV/cell

Cell lengths 4.3593, 4.3593, 4.3593 Å; angles 60.00, 60.00, 60.00 degrees
With the nearest neighbours (Å) after each atom.
Element x y z (fractional)
Na (0.0000, 0.0000, 0.0000)  8 W 2.67
Co (0.5000, 0.5000, 0.5000)  8 W 2.67
W (0.2500, 0.2500, 0.2500)  4 Co 2.67, 4 Na 2.67
W (0.7500, 0.7500, 0.7500)  4 Co 2.67, 4 Na 2.67

---

No. 3
Here is a geometry-optimized TcB3Ru structure from Alexandria via LeMat-Bulk. Energies are from PBE.

Results
Symmetry = Pm-3m
ΔE to the lowest computed polymorph = 0 meV per atom
Energy of formation = 1293.3 meV/atom
E_tot = -33.2 eV/cell

Cell lengths 3.9786, 3.9786, 3.9786 Å; angles 90.00, 90.00, 90.00 degrees
With the nearest neighbours (Å) after each atom.
Element x y z (fractional)
Tc (0.0000, 0.0000, 0.0000)  12 B 2.81
B (0.0000, 0.5000, 0.5000)  2 Ru 1.99
B (0.5000, 0.0000, 0.5000)  2 Ru 1.99
B (0.5000, 0.5000, 0.0000)  2 Ru 1.99
Ru (0.5000, 0.5000, 0.5000)  6 B 1.99

---

No. 4
Here is a geometry-optimized Hf2ScNb structure from Alexandria via LeMat-Bulk. Energies are from PBE.

Results
Symmetry = I-42d
ΔE to the lowest computed polymorph = 503 meV per atom
Energy of formation = 596.5 meV/atom
E_tot = -67.8 eV/cell

Cell lengths 6.2079, 6.2079, 6.2079 Å; angles 103.34, 103.34, 122.59 degrees
With the nearest neighbours (Å) after each atom.
Element x y z (fractional)
Hf (0.1119, 0.1250, 0.4869)  2 Nb 2.75, 2 Sc 2.89, 2 Hf 2.99
Hf (0.3750, 0.8881, 0.0131)  2 Nb 2.75, 2 Sc 2.89, 2 Hf 2.99
Hf (0.6381, 0.6250, 0.5131)  2 Nb 2.75, 2 Sc 2.89, 2 Hf 2.99
Hf (0.8750, 0.3619, 0.9869)  2 Nb 2.75, 2 Sc 2.89, 2 Hf 2.99
Sc (0.2500, 0.7500, 0.5000)  4 Hf 2.89, 2 Nb 2.98
Sc (0.5000, 0.5000, 0.0000)  4 Hf 2.89, 2 Nb 2.98
Nb (0.0000, 0.0000, 0.0000)  4 Hf 2.75, 2 Sc 2.98
Nb (0.7500, 0.2500, 0.5000)  4 Hf 2.75, 2 Sc 2.98

---

No. 5
Here is a geometry-optimized Tm2Ga3CoNi12 structure from Alexandria via LeMat-Bulk. Energies are from PBE.

Results
Symmetry = R-3m
Energy of formation = 24.8 meV/atom
E_tot = -94.1 eV/cell

Cell lengths 9.0771, 9.0771, 9.0771 Å; angles 38.69, 38.69, 38.69 degrees
With the nearest neighbours (Å) after each atom.
Element x y z (fractional)
Tm (0.1502, 0.1502, 0.1502)  6 Ni 2.86-2.87
Tm (0.8498, 0.8498, 0.8498)  6 Ni 2.86-2.87
Ga (0.0000, 0.5000, 0.5000)  6 Ni 2.32-2.52
Ga (0.5000, 0.0000, 0.5000)  6 Ni 2.32-2.52
Ga (0.5000, 0.5000, 0.0000)  6 Ni 2.32-2.52
Co (0.5000, 0.5000, 0.5000)  6 Ni 2.27
Ni (0.0812, 0.0811, 0.6878)  2 Ga 2.32, 4 Ni 2.37-2.39
Ni (0.0812, 0.6878, 0.0812)  2 Ga 2.32, 4 Ni 2.37-2.39
Ni (0.1404, 0.5795, 0.5795)  1 Co 2.27, 2 Ni 2.39, 1 Ga 2.52
Ni (0.3122, 0.9189, 0.9188)  2 Ga 2.32, 4 Ni 2.37-2.39
Ni (0.4205, 0.4205, 0.8596)  1 Co 2.27, 2 Ni 2.39, 1 Ga 2.52
Ni (0.4205, 0.8596, 0.4205)  1 Co 2.27, 2 Ni 2.39, 1 Ga 2.52
Ni (0.5795, 0.1404, 0.5795)  1 Co 2.27, 2 Ni 2.39, 1 Ga 2.52
Ni (0.5795, 0.5795, 0.1404)  1 Co 2.27, 2 Ni 2.39, 1 Ga 2.52
Ni (0.6878, 0.0812, 0.0812)  2 Ga 2.32, 4 Ni 2.37-2.39
Ni (0.8596, 0.4205, 0.4205)  1 Co 2.27, 2 Ni 2.39, 1 Ga 2.52
Ni (0.9189, 0.3122, 0.9189)  2 Ga 2.32, 4 Ni 2.37-2.39
Ni (0.9189, 0.9188, 0.3122)  2 Ga 2.32, 4 Ni 2.37-2.39

---

No. 6
Here is a geometry-optimized Ag2P2PdO7 structure from Alexandria via LeMat-Bulk. Energies are from PBE.

Results
Energy relative to the elements, uncorrected = -1595 kJ/mol of formula units
Symmetry = C2/c
E_tot = -145.9 eV/cell

Cell lengths 8.7115, 8.7115, 8.5901 Å; angles 118.52, 118.52, 38.34 degrees
With the nearest neighbours (Å) after each atom.
Element x y z (fractional)
Ag (0.0503, 0.4336, 0.2924)  4 O 2.32-2.56
Ag (0.4336, 0.0503, 0.7924)  4 O 2.32-2.56
Ag (0.5664, 0.9497, 0.2076)  4 O 2.32-2.56
Ag (0.9497, 0.5664, 0.7076)  4 O 2.32-2.56
P (0.2375, 0.5589, 0.1509)  4 O 1.51-1.62
P (0.4411, 0.7625, 0.3491)  4 O 1.51-1.62
P (0.5589, 0.2375, 0.6509)  4 O 1.51-1.62
P (0.7625, 0.4411, 0.8491)  4 O 1.51-1.62
Pd (0.0000, 0.0000, 0.0000)  4 O 2.04-2.05
Pd (0.0000, 0.0000, 0.5000)  4 O 2.04-2.05
O (0.0829, 0.7036, 0.2969)  1 P 1.55
O (0.0873, 0.7009, 0.9943)  1 P 1.56
O (0.2964, 0.9171, 0.2031)  1 P 1.55
O (0.2978, 0.3464, 0.5779)  1 P 1.51
O (0.2991, 0.9127, 0.5057)  1 P 1.56
O (0.3464, 0.2978, 0.0779)  1 P 1.51
O (0.4689, 0.5311, 0.2500)  2 P 1.62
O (0.5311, 0.4689, 0.7500)  2 P 1.62
O (0.6536, 0.7022, 0.9221)  1 P 1.51
O (0.7009, 0.0873, 0.4943)  1 P 1.56
O (0.7022, 0.6536, 0.4221)  1 P 1.51
O (0.7036, 0.0829, 0.7969)  1 P 1.55
O (0.9127, 0.2991, 0.0057)  1 P 1.56
O (0.9171, 0.2964, 0.7031)  1 P 1.55